## ScGaBr3 (GGA-PBE)

Data for crystalline ScGaBr3 at its relaxed geometry.

For the formation energy from raw total energies, the calculation gives -0.98 eV per atom.

The structure belongs to space group Pm-3m (No. 221); the cell edges are 5.3696, 5.3696 and 5.3696 Å and the angles 90.00°, 90.00° and 90.00°. The inequivalent atoms are Sc at (0.0000, 0.0000, 0.0000), Ga at (0.5000, 0.5000, 0.5000) and Br at (0.0000, 0.0000, 0.5000).

***

## ScGaBr3 (GGA-PBE)

Data for crystalline ScGaBr3 at its relaxed geometry.

For the formation energy from raw total energies, the calculation gives -0.27 eV per atom.

The structure belongs to space group Pm-3m (No. 221); the cell edges are 5.3818, 5.3818 and 5.3818 Å and the angles 90.00°, 90.00° and 90.00°. The inequivalent atoms are Sc at (0.0000, 0.0000, 0.0000), Ga at (0.5000, 0.5000, 0.5000) and Br at (0.0000, 0.5000, 0.5000).

***

## ScGaBr4 (GGA-PBE)

Data for crystalline ScGaBr4 at its relaxed geometry.

For the formation energy from raw total energies, the calculation gives -1.30 eV per atom.

The structure belongs to space group C2/m (No. 12); the cell edges are 15.3150, 4.0084 and 7.7151 Å and the angles 90.00°, 117.08° and 90.00°. The inequivalent atoms are Sc at (0.0000, 0.0000, 0.0000), Ga at (0.0000, 0.5000, 0.5000), Br at (0.1114, 0.5000, 0.2398) and Br at (0.1116, 0.0000, 0.8267).

***

## ScGaSe2Br (GGA-PBE)

Data for crystalline ScGaSe2Br at its relaxed geometry.

For the formation energy from raw total energies, the calculation gives -0.77 eV per atom.

The structure belongs to space group P4/mmm (No. 123); the cell edges are 5.1628, 5.1628 and 5.4572 Å and the angles 90.00°, 90.00° and 90.00°. The inequivalent atoms are Sc at (0.0000, 0.0000, 0.0000), Ga at (0.5000, 0.5000, 0.5000), Se at (0.0000, 0.5000, 0.0000) and Br at (0.0000, 0.0000, 0.5000).

***

Look up the formation energy from raw total energies of the fourth one. -0.77 eV per atom